Record 1
# K4Au2F

A relaxed K4Au2F crystal (PBE, Alexandria via LeMat-Bulk).

Lattice parameters (Å, degrees): 5.184 5.184 9.492 105.85 105.85 90.00
Positions (direct):
K 0.830 0.830 0.659
F 0.000 0.000 0.000
K 0.000 0.500 0.000
Au 0.366 0.366 0.733
K 0.170 0.170 0.341
K 0.500 0.000 0.000
Au 0.634 0.634 0.267

Computed properties:
The value obtained for the offset from the most stable computed form is 0 meV/atom.

Record 2
# K2AuF

A relaxed K2AuF crystal (PBE, Alexandria via LeMat-Bulk).

Lattice parameters (Å, degrees): 7.647 7.647 6.972 56.74 56.74 90.00
Positions (direct):
K 0.209 0.625 0.250
K 0.541 0.125 0.250
F 0.250 0.750 0.500
F 0.500 0.500 0.000
Au 0.750 0.250 0.500
Au 0.000 0.000 0.000
K 0.875 0.791 0.750
K 0.375 0.459 0.750

Computed properties:
The value obtained for the offset from the most stable computed form is 31 meV/atom.

Record 3
# KLaAuF2

A relaxed KLaAuF2 crystal (PBE, Alexandria via LeMat-Bulk).

Lattice parameters (Å, degrees): 4.701 4.701 6.388 90.00 90.00 90.00
Positions (direct):
F 0.000 0.500 0.000
F 0.500 0.000 0.000
K 0.500 0.500 0.500
La 0.000 0.000 0.000
Au 0.000 0.000 0.500

Record 4
# K2LiAuF

A relaxed K2LiAuF crystal (PBE, Alexandria via LeMat-Bulk).

Lattice parameters (Å, degrees): 6.500 4.622 6.500 90.00 90.00 90.00
Positions (direct):
Au 0.000 0.000 0.000
K 0.500 0.000 0.000
Li 0.500 0.500 0.500
K 0.000 0.000 0.500
F 0.000 0.500 0.000

Computed properties:
The value obtained for the offset from the most stable computed form is 776 meV/atom.

Record 5
# K2LiAuF

A relaxed K2LiAuF crystal (PBE, Alexandria via LeMat-Bulk).

Lattice parameters (Å, degrees): 5.693 5.693 3.969 90.00 90.00 90.00
Positions (direct):
F 0.000 0.000 0.000
K 0.000 0.500 0.000
Li 0.000 0.000 0.500
Au 0.500 0.500 0.500
K 0.500 0.000 0.000

Computed properties:
The value obtained for the offset from the most stable computed form is 0 meV/atom.

Record 6
# KLi2AuF

A relaxed KLi2AuF crystal (PBE, Alexandria via LeMat-Bulk).

Lattice parameters (Å, degrees): 4.267 7.127 4.267 90.00 90.00 90.00
Positions (direct):
Li 0.500 0.000 0.000
Au 0.000 0.500 0.000
Li 0.000 0.000 0.500
K 0.500 0.500 0.500
F 0.000 0.000 0.000

One value per record, in order, for E_form (uncorrected): -934 -1433 -2283 -366 -1143 -916 meV/atom.
One value per record, in order, for raw total energy: -19.4 -26.1 -24.5 -11.1 -15.0 -14.7 eV per cell.